This record from the Open Quantum Materials Database describes a geometry-optimized YHo2Al3Cu3 structure. The functional is GGA-PBE.

Values from the calculation:
Total magnetic moment ... 0.01 Bohr magnetons per cell
DFT total energy ... -4.683 eV per atom

Cell: 4.006 12.163 7.004 Å, 90.00 90.00 90.00°
Space group Amm2 (No. 38)
One atom of each set of equivalent atoms:
Y 0.000 0.000 0.000 x2
Ho 0.000 0.207 0.622 x4
Al 0.500 0.000 0.651 x2
Al 0.500 0.118 0.297 x4
Cu 0.000 0.000 0.417 x2
Cu 0.500 0.168 0.914 x4


This record from the Open Quantum Materials Database describes a geometry-optimized Hf2ZrCu4Si4 structure. The functional is GGA-PBE.

Values from the calculation:
Total magnetic moment ... 0.00 Bohr magnetons per cell
DFT total energy ... -6.451 eV per atom

Cell: 3.918 6.385 13.054 Å, 90.00 90.00 90.00°
Space group Immm (No. 71)
One atom of each set of equivalent atoms:
Hf 0.000 0.000 0.124 x4
Zr 0.000 0.500 0.000 x2
Cu 0.000 0.193 0.331 x8
Si 0.000 0.311 0.500 x4
Si 0.000 0.500 0.217 x4


This record from the Open Quantum Materials Database describes a geometry-optimized Np2H2I3Cl structure. The functional is GGA-PBE.

Values from the calculation:
Total magnetic moment ... 8.03 Bohr magnetons per cell
DFT total energy ... -5.735 eV per atom

Cell: 3.9615 3.9615 15.4472 Å, 90.00 90.00 120.00°
Space group P3m1 (No. 156)
One atom of each set of equivalent atoms:
Np 0.0000 0.0000 0.0000 x1
Np 0.0000 0.0000 0.4827 x1
H 0.3333 0.6667 0.9956 x1
H 0.6667 0.3333 0.4830 x1
I 0.3333 0.6667 0.3420 x1
I 0.3333 0.6667 0.6232 x1
I 0.6667 0.3333 0.8587 x1
Cl 0.6667 0.3333 0.1107 x1


This record from the Open Quantum Materials Database describes a geometry-optimized Hf3GeSe structure. The functional is GGA-PBE.

Values from the calculation:
Total magnetic moment ... 0.01 Bohr magnetons per cell
DFT total energy ... -7.283 eV per atom

Cell: 4.900 4.900 4.900 Å, 90.00 90.00 90.00°
Space group Pm-3m (No. 221)
One atom of each set of equivalent atoms:
Hf 0.000 0.000 0.500 x3
Ge 0.500 0.500 0.500 x1
Se 0.000 0.000 0.000 x1


This record from the Open Quantum Materials Database describes a geometry-optimized SmErCuS3 structure. The functional is GGA-PBE.

Values from the calculation:
Total magnetic moment ... 0.02 Bohr magnetons per cell
DFT total energy ... -5.790 eV per atom

Cell: 3.783 12.693 10.054 Å, 90.00 90.00 90.00°
Space group Cmcm (No. 63)
One atom of each set of equivalent atoms:
Sm 0.000 0.236 0.250 x4
Er 0.000 0.000 0.000 x4
Cu 0.000 0.477 0.750 x4
S 0.000 0.090 0.750 x4
S 0.000 0.357 0.574 x8


This record from the Open Quantum Materials Database describes a geometry-optimized Be2ReIr structure. The functional is GGA-PBE.

Values from the calculation:
Total magnetic moment ... 0.06 Bohr magnetons per cell
DFT total energy ... -7.121 eV per atom

Cell: 5.800 5.800 5.800 Å, 90.00 90.00 90.00°
Space group F-43m (No. 216)
One atom of each set of equivalent atoms:
Be 0.000 0.000 0.000 x4
Be 0.250 0.250 0.250 x4
Re 0.000 0.000 0.500 x4
Ir 0.250 0.250 0.750 x4


What is the total magnetic moment in the first record?
0.01 Bohr magnetons per cell


What is the DFT total energy in the fourth record?
-7.283 eV per atom